A plane-wave DFT calculation with PBE was carried out for Mn3NiPd6 after structural relaxation.

Structure (extended XYZ):
```
20
Lattice="7.3406 0.0000 0.0000 0.0000 4.4893 0.0000 -3.4590 0.0000 9.0094" Properties=species:S:1:pos:R:3 pbc="T T T"
Mn -0.1655 1.1223 2.0826
Mn 2.1253 1.1223 0.1978
Mn 1.0283 3.3670 3.4279
Mn 2.8533 1.1223 5.5815
Mn 1.7563 3.3670 8.8116
Mn 4.0471 3.3670 6.9268
Ni -1.2127 3.3670 5.1174
Ni 5.0943 1.1223 3.8921
Pd -1.8989 1.1223 6.4558
Pd 0.5213 3.3670 0.6791
Pd 0.2313 1.1223 4.7341
Pd -0.8221 3.3670 7.7574
Pd 2.4536 1.1223 2.9525
Pd 0.7598 1.1223 7.5008
Pd 3.1218 3.3670 1.5086
Pd 1.4280 3.3670 6.0569
Pd 4.7037 1.1223 1.2520
Pd 3.6503 3.3670 4.2753
Pd 3.3603 1.1223 8.3303
Pd 5.7805 3.3670 2.5536
```

## Properties
Magnetization (μB per cell): 28.71
Uncorrected energy (Ry/atom): -0.4856
Symmetry: No. 11